! Li2Ho2GaRh5 (GGA-PBE, relaxed); values from VASP
! - VASP energy (eV per atom) = -5.8173
! - V (A^3/atom) = 15.488
! - space-group type = P4/mbm, No. 127
! - calculated formation energy (eV per atom) = -0.54
&SYSTEM
  ibrav = 0, nat = 20, ntyp = 4
/
ATOMIC_SPECIES
Li 6.94 Li.upf
Ho 164.93 Ho.upf
Ga 69.72 Ga.upf
Rh 102.91 Rh.upf
ATOMIC_POSITIONS angstrom
Li 0.0000 1.1252 5.8060
Li 0.0000 8.2364 3.5556
Li 0.0000 5.8060 8.2364
Li 0.0000 3.5556 1.1252
Ho 0.0000 6.3384 1.6575
Ho 0.0000 3.0233 7.7041
Ho 0.0000 1.6575 3.0233
Ho 0.0000 7.7041 6.3384
Ga 0.0000 0.0000 0.0000
Ga 0.0000 4.6808 4.6808
Rh 1.7673 1.9023 0.6368
Rh 1.7673 7.4594 8.7248
Rh 1.7673 0.6368 7.4594
Rh 1.7673 6.5831 4.0440
Rh 1.7673 8.7248 1.9023
Rh 1.7673 2.7786 5.3176
Rh 1.7673 5.3176 6.5831
Rh 1.7673 4.0440 2.7786
Rh 1.7673 4.6808 0.0000
Rh 1.7673 0.0000 4.6808
CELL_PARAMETERS angstrom
3.5345 0.0000 0.0000
0.0000 9.3616 0.0000
0.0000 0.0000 9.3616